(1)
Density functional theory data (PBE-GGA) for an optimized crystal structure of AcReNO.

## Properties
M_tot	0.00	μB/f.u.
calculated total energy	-8.940	eV/atom

Cell: 5.454 9.558 4.886 Å, 90.00 90.00 90.00°
Space group Pca2_1 (No. 29)
Asymmetric unit:
Ac 0.004 0.166 0.000 [4 per cell]
Re 0.124 0.491 0.682 [4 per cell]
N 0.109 0.366 0.351 [4 per cell]
O 0.064 0.907 0.003 [4 per cell]


(2)
Density functional theory data (PBE-GGA) for an optimized crystal structure of AcReNO.

## Properties
M_tot	0.00	μB/f.u.
calculated total energy	-8.551	eV/atom

Cell: 8.107 6.940 5.038 Å, 90.00 90.00 90.00°
Space group Pca2_1 (No. 29)
Asymmetric unit:
Ac 0.074 0.201 0.000 [4 per cell]
Re 0.195 0.676 0.999 [4 per cell]
N 0.016 0.840 0.000 [4 per cell]
O 0.245 0.458 0.746 [4 per cell]


(3)
Density functional theory data (PBE-GGA) for an optimized crystal structure of AcReNO.

## Properties
M_tot	0.01	μB/f.u.
calculated total energy	-8.616	eV/atom

Cell: 3.896 5.673 5.461 Å, 90.00 90.00 90.00°
Space group Pmc2_1 (No. 26)
Asymmetric unit:
Ac 0.000 0.213 0.000 [2 per cell]
Re 0.500 0.315 0.499 [2 per cell]
N 0.000 0.315 0.499 [2 per cell]
O 0.500 0.005 0.750 [2 per cell]


(4)
Density functional theory data (PBE-GGA) for an optimized crystal structure of AcReNO.

## Properties
M_tot	3.40	μB/f.u.
calculated total energy	-7.604	eV/atom

Cell: 5.012 5.012 5.155 Å, 90.00 90.00 90.00°
Space group P4/nmm (No. 129, origin choice 2)
Asymmetric unit:
Ac 0.250 0.750 0.000 [2 per cell]
Re 0.250 0.250 0.497 [2 per cell]
N 0.250 0.250 0.122 [2 per cell]
O 0.250 0.750 0.500 [2 per cell]


(5)
Density functional theory data (PBE-GGA) for an optimized crystal structure of AcReNO.

## Properties
M_tot	3.39	μB/f.u.
calculated total energy	-7.610	eV/atom

Cell: 5.067 5.067 5.080 Å, 90.00 90.00 90.00°
Space group P4/nmm (No. 129, origin choice 2)
Asymmetric unit:
Ac 0.250 0.750 0.000 [2 per cell]
Re 0.250 0.250 0.499 [2 per cell]
N 0.250 0.250 0.116 [2 per cell]
O 0.250 0.750 0.500 [2 per cell]


(6)
Density functional theory data (PBE-GGA) for an optimized crystal structure of AcReNO.

## Properties
M_tot	0.00	μB/f.u.
calculated total energy	-8.473	eV/atom

Cell: 4.082 5.594 5.613 Å, 90.00 90.00 90.00°
Space group Pmc2_1 (No. 26)
Asymmetric unit:
Ac 0.000 0.244 0.000 [2 per cell]
Re 0.500 0.267 0.501 [2 per cell]
N 0.500 0.499 0.250 [2 per cell]
O 0.000 0.193 0.503 [2 per cell]


(7)
Density functional theory data (PBE-GGA) for an optimized crystal structure of AcReNO.

## Properties
M_tot	0.01	μB/f.u.
calculated total energy	-8.636	eV/atom

Cell: 3.878 3.878 8.690 Å, 90.00 90.00 90.00°
Space group P4/nmm (No. 129, origin choice 2)
Asymmetric unit:
Ac 0.250 0.250 0.163 [2 per cell]
Re 0.250 0.750 0.500 [2 per cell]
N 0.250 0.250 0.609 [2 per cell]
O 0.250 0.750 0.000 [2 per cell]


(8)
Density functional theory data (PBE-GGA) for an optimized crystal structure of AcTcNO.

## Properties
M_tot	0.01	μB/f.u.
calculated total energy	-8.117	eV/atom

Cell: 5.621 4.104 5.562 Å, 90.00 90.00 90.00°
Space group Pmma (No. 51)
Asymmetric unit:
Ac 0.250 0.000 0.247 [2 per cell]
Tc 0.250 0.500 0.729 [2 per cell]
N 0.000 0.500 0.500 [2 per cell]
O 0.250 0.000 0.810 [2 per cell]


(9)
Density functional theory data (PBE-GGA) for an optimized crystal structure of AcTcNO.

## Properties
M_tot	0.01	μB/f.u.
calculated total energy	-8.297	eV/atom

Cell: 3.873 3.873 8.574 Å, 90.00 90.00 90.00°
Space group P4/nmm (No. 129, origin choice 2)
Asymmetric unit:
Ac 0.250 0.250 0.165 [2 per cell]
Tc 0.250 0.750 0.500 [2 per cell]
N 0.250 0.250 0.607 [2 per cell]
O 0.250 0.750 0.000 [2 per cell]


(10)
Density functional theory data (PBE-GGA) for an optimized crystal structure of AcTcNO.

## Properties
M_tot	3.57	μB/f.u.
calculated total energy	-7.483	eV/atom

Cell: 5.245 5.245 4.833 Å, 90.00 90.00 90.00°
Space group P4/nmm (No. 129, origin choice 2)
Asymmetric unit:
Ac 0.250 0.750 0.000 [2 per cell]
Tc 0.250 0.250 0.484 [2 per cell]
N 0.250 0.250 0.066 [2 per cell]
O 0.250 0.750 0.500 [2 per cell]


(11)
Density functional theory data (PBE-GGA) for an optimized crystal structure of AcTcNO.

## Properties
M_tot	0.00	μB/f.u.
calculated total energy	-8.203	eV/atom

Cell: 5.507 3.868 5.691 Å, 90.00 90.00 90.00°
Space group Pmma (No. 51)
Asymmetric unit:
Ac 0.250 0.000 0.211 [2 per cell]
Tc 0.250 0.500 0.690 [2 per cell]
N 0.250 0.000 0.681 [2 per cell]
O 0.000 0.500 0.000 [2 per cell]


(12)
Density functional theory data (PBE-GGA) for an optimized crystal structure of AcTcNO.

## Properties
M_tot	0.01	μB/f.u.
calculated total energy	-8.469	eV/atom

Cell: 5.472 9.382 4.917 Å, 90.00 90.00 90.00°
Space group Pca2_1 (No. 29)
Asymmetric unit:
Ac 0.003 0.168 0.000 [4 per cell]
Tc 0.127 0.490 0.687 [4 per cell]
N 0.104 0.370 0.357 [4 per cell]
O 0.065 0.906 0.004 [4 per cell]


(13)
Density functional theory data (PBE-GGA) for an optimized crystal structure of AcTcNO.

## Properties
M_tot	0.00	μB/f.u.
calculated total energy	-8.025	eV/atom

Cell: 7.254 7.031 5.220 Å, 90.00 90.00 90.00°
Space group Pca2_1 (No. 29)
Asymmetric unit:
Ac 0.091 0.195 0.000 [4 per cell]
Tc 0.188 0.677 0.000 [4 per cell]
N 0.008 0.159 0.500 [4 per cell]
O 0.247 0.468 0.253 [4 per cell]


(14)
Density functional theory data (PBE-GGA) for an optimized crystal structure of AcZnNO.

## Properties
M_tot	0.00	μB/f.u.
calculated total energy	-5.737	eV/atom

Cell: 5.177 5.177 4.914 Å, 90.00 90.00 90.00°
Space group P4/nmm (No. 129, origin choice 2)
Asymmetric unit:
Ac 0.250 0.750 0.000 [2 per cell]
Zn 0.250 0.250 0.460 [2 per cell]
N 0.250 0.250 0.058 [2 per cell]
O 0.250 0.750 0.500 [2 per cell]


(15)
Density functional theory data (PBE-GGA) for an optimized crystal structure of AcZnNO.

## Properties
M_tot	0.00	μB/f.u.
calculated total energy	-6.031	eV/atom

Cell: 5.831 7.803 5.547 Å, 90.00 90.00 90.00°
Space group Pca2_1 (No. 29)
Asymmetric unit:
Ac 0.019 0.173 0.000 [4 per cell]
Zn 0.041 0.612 0.002 [4 per cell]
N 0.037 0.141 0.511 [4 per cell]
O 0.157 0.554 0.672 [4 per cell]


(16)
Density functional theory data (PBE-GGA) for an optimized crystal structure of AcZnNO.

## Properties
M_tot	0.00	μB/f.u.
calculated total energy	-6.028	eV/atom

Cell: 6.357 7.048 5.761 Å, 90.00 90.00 90.00°
Space group Pca2_1 (No. 29)
Asymmetric unit:
Ac 0.062 0.210 0.000 [4 per cell]
Zn 0.085 0.619 0.976 [4 per cell]
N 0.150 0.536 0.300 [4 per cell]
O 0.064 0.118 0.440 [4 per cell]


(17)
Density functional theory data (PBE-GGA) for an optimized crystal structure of AcZnNO.

## Properties
M_tot	0.00	μB/f.u.
calculated total energy	-6.059	eV/atom

Cell: 3.745 5.682 5.876 Å, 90.00 90.00 90.00°
Space group Pmc2_1 (No. 26)
Asymmetric unit:
Ac 0.000 0.211 0.000 [2 per cell]
Zn 0.500 0.275 0.515 [2 per cell]
N 0.000 0.356 0.580 [2 per cell]
O 0.500 0.042 0.244 [2 per cell]


(18)
Density functional theory data (PBE-GGA) for an optimized crystal structure of AcZnNO.

## Properties
M_tot	0.00	μB/f.u.
calculated total energy	-6.087	eV/atom

Cell: 3.872 3.872 8.370 Å, 90.00 90.00 90.00°
Space group P4/nmm (No. 129, origin choice 2)
Asymmetric unit:
Ac 0.250 0.250 0.169 [2 per cell]
Zn 0.250 0.750 0.500 [2 per cell]
N 0.250 0.250 0.622 [2 per cell]
O 0.250 0.750 0.000 [2 per cell]


(19)
Density functional theory data (PBE-GGA) for an optimized crystal structure of AcZnNO.

## Properties
M_tot	0.00	μB/f.u.
calculated total energy	-6.055	eV/atom

Cell: 3.637 5.909 6.021 Å, 90.00 90.00 90.00°
Space group Pmc2_1 (No. 26)
Asymmetric unit:
Ac 0.000 0.219 0.000 [2 per cell]
Zn 0.500 0.222 0.524 [2 per cell]
N 0.500 0.046 0.245 [2 per cell]
O 0.000 0.376 0.595 [2 per cell]


(20)
Density functional theory data (PBE-GGA) for an optimized crystal structure of AcZrNO.

## Properties
M_tot	0.00	μB/f.u.
calculated total energy	-8.396	eV/atom

Cell: 4.149 5.888 5.968 Å, 90.00 90.00 90.00°
Space group Pmc2_1 (No. 26)
Asymmetric unit:
Ac 0.000 0.243 0.000 [2 per cell]
Zr 0.500 0.250 0.500 [2 per cell]
N 0.500 0.002 0.752 [2 per cell]
O 0.000 0.317 0.498 [2 per cell]


(21)
Density functional theory data (PBE-GGA) for an optimized crystal structure of AcZrNO.

## Properties
M_tot	0.00	μB/f.u.
calculated total energy	-8.065	eV/atom

Cell: 4.702 4.702 6.313 Å, 90.00 90.00 90.00°
Space group P4/nmm (No. 129, origin choice 2)
Asymmetric unit:
Ac 0.250 0.750 0.000 [2 per cell]
Zr 0.250 0.250 0.473 [2 per cell]
N 0.250 0.250 0.159 [2 per cell]
O 0.250 0.750 0.500 [2 per cell]


(22)
Density functional theory data (PBE-GGA) for an optimized crystal structure of AcZrNO.

## Properties
M_tot	0.00	μB/f.u.
calculated total energy	-8.208	eV/atom

Cell: 6.864 7.896 5.668 Å, 90.00 90.00 90.00°
Space group Pca2_1 (No. 29)
Asymmetric unit:
Ac 0.066 0.139 0.000 [4 per cell]
Zr 0.109 0.642 0.990 [4 per cell]
N 0.071 0.160 0.472 [4 per cell]
O 0.086 0.552 0.620 [4 per cell]